No. 1
Entry from the Alexandria database: Sm2ScUAs4 after structural relaxation (PBE).

Cell: 4.091 7.079 7.111 Å, 109.16 90.00 90.00°
Site moments in Bohr magnetons follow the coordinates.
Sites, in units of the cell vectors:
As: 0.000 0.250 0.764  -0.04
As: 0.000 0.750 0.236  -0.04
As: 0.500 0.241 0.231  -0.03
As: 0.500 0.759 0.769  -0.03
U: 0.500 0.500 0.000  2.04
Sm: 0.500 0.000 0.500  0.03
Sm: 0.000 0.500 0.500  0.03
Sc: 0.000 0.000 0.000  0.02

Computed properties:
E = -6.980 eV per atom
N(E_F) = 7.89 states/eV/cell
V = 24.3 Å³/atom

No. 2
Entry from the Alexandria database: SmYSc2As4 after structural relaxation (PBE).

Cell: 4.035 6.960 6.983 Å, 70.45 90.00 90.00°
Sites, in units of the cell vectors:
As: 0.000 0.769 0.741
As: 0.000 0.231 0.259
As: 0.500 0.767 0.247
As: 0.500 0.233 0.753
Sm: 0.500 0.500 0.000
Sc: 0.500 0.000 0.500
Sc: 0.000 0.000 0.000
Y: 0.000 0.500 0.500

Computed properties:
E = -6.746 eV per atom
N(E_F) = 1.00 states/eV/cell
V = 23.1 Å³/atom

No. 3
Entry from the Alexandria database: SmZrSc2As4 after structural relaxation (PBE).

Cell: 3.962 6.822 6.869 Å, 70.64 90.00 90.00°
Sites, in units of the cell vectors:
As: 0.000 0.235 0.265
As: 0.500 0.757 0.257
As: 0.500 0.243 0.743
As: 0.000 0.765 0.735
Sm: 0.500 0.500 0.000
Sc: 0.000 0.000 0.000
Sc: 0.500 0.000 0.500
Zr: 0.000 0.500 0.500

Computed properties:
E = -6.901 eV per atom
N(E_F) = 1.29 states/eV/cell
V = 21.9 Å³/atom

No. 4
Entry from the Alexandria database: ScSn3As after structural relaxation (PBE).

Cell: 5.479 5.479 5.479 Å, 90.00 90.00 90.00°
Sites, in units of the cell vectors:
Sn: 0.000 0.500 0.000
Sn: 0.500 0.000 0.000
Sn: 0.000 0.000 0.500
Sc: 0.000 0.000 0.000
As: 0.500 0.500 0.500

Computed properties:
N(E_F) = 5.93 states/eV/cell
V = 32.9 Å³/atom
Polymorph energy (0 for the lowest one) = 0.68 eV per formula unit

No. 5
Entry from the Alexandria database: Sc2SnAs after structural relaxation (PBE).

Cell: 10.398 10.398 10.398 Å, 18.10 18.10 18.10°
Sites, in units of the cell vectors:
Sc: 0.914 0.914 0.914
Sc: 0.086 0.086 0.086
Sn: 0.500 0.500 0.500
As: 0.000 0.000 0.000

Computed properties:
N(E_F) = 3.17 states/eV/cell
V = 23.7 Å³/atom
Polymorph energy (0 for the lowest one) = 3.15 eV per formula unit

No. 6
Entry from the Alexandria database: ScSn2As after structural relaxation (PBE).

Cell: 8.182 8.182 6.494 Å, 50.95 50.95 90.00°
Sites, in units of the cell vectors:
As: 0.000 0.000 0.000
As: 0.750 0.250 0.500
Sn: 0.643 0.125 0.250
Sn: 0.107 0.625 0.250
Sn: 0.875 0.893 0.750
Sn: 0.375 0.357 0.750
Sc: 0.250 0.750 0.500
Sc: 0.500 0.500 0.000

Computed properties:
E = -4.907 eV per atom
N(E_F) = 6.17 states/eV/cell
V = 24.7 Å³/atom

No. 7
Entry from the Alexandria database: Sc3SnAs after structural relaxation (PBE).

Cell: 3.748 8.223 8.223 Å, 72.18 90.00 90.00°
Sites, in units of the cell vectors:
As: 0.363 0.694 0.247
As: 0.364 0.194 0.746
Sn: 0.863 0.194 0.246
Sn: 0.363 0.694 0.746
Sc: 0.863 0.627 0.055
Sc: 0.863 0.386 0.814
Sc: 0.363 0.011 0.064
Sc: 0.863 0.761 0.438
Sc: 0.363 0.377 0.429
Sc: 0.863 0.003 0.679

Computed properties:
N(E_F) = 7.56 states/eV/cell
V = 24.1 Å³/atom
Polymorph energy (0 for the lowest one) = 0.00 eV per formula unit

No. 8
Entry from the Alexandria database: Sc2Sn2As after structural relaxation (PBE).

Cell: 7.136 7.136 4.547 Å, 90.00 90.00 90.00°
Sites, in units of the cell vectors:
As: 0.000 0.000 0.000
As: 0.500 0.500 0.000
Sn: 0.352 0.148 0.500
Sn: 0.148 0.648 0.500
Sn: 0.852 0.352 0.500
Sn: 0.648 0.852 0.500
Sc: 0.666 0.166 0.000
Sc: 0.334 0.834 0.000
Sc: 0.834 0.666 0.000
Sc: 0.166 0.334 0.000

Computed properties:
E = -5.714 eV per atom
N(E_F) = 4.82 states/eV/cell
V = 23.2 Å³/atom